Record 1
# Sr2ZnCuPd, relaxed, DFT PBE
# magnetization: 0.0 μB/f.u.
# energy of formation: 0.02 eV/atom
# E_tot: -2.768 eV/atom
data_Sr2ZnCuPd
_symmetry_space_group_name_H-M 'P 4/m m m'
_symmetry_Int_Tables_number 123
_symmetry_space_group_name_Hall '-P 4 2'
_cell_length_a 5.752
_cell_length_b 5.752
_cell_length_c 4.671
_cell_angle_alpha 90.00
_cell_angle_beta 90.00
_cell_angle_gamma 90.00
loop_
_atom_site_label
_atom_site_type_symbol
_atom_site_fract_x
_atom_site_fract_y
_atom_site_fract_z
Sr1 Sr 0.000 0.500 0.000
Zn1 Zn 0.000 0.000 0.500
Cu1 Cu 0.500 0.500 0.000
Pd1 Pd 0.500 0.500 0.500

Record 2
# K2CaTi3O8, relaxed, DFT PBE
# formation energy without anion corrections: -2.66 eV/atom
# magnetization: 0.0 μB/f.u.
# E_tot: -7.489 eV/atom
data_K2CaTi3O8
_symmetry_space_group_name_H-M 'R 3 m'
_symmetry_Int_Tables_number 160
_symmetry_space_group_name_Hall 'R 3 -2"'
_cell_length_a 6.1697
_cell_length_b 6.1697
_cell_length_c 18.5331
_cell_angle_alpha 90.00
_cell_angle_beta 90.00
_cell_angle_gamma 120.00
loop_
_atom_site_label
_atom_site_type_symbol
_atom_site_fract_x
_atom_site_fract_y
_atom_site_fract_z
K1 K 0.0000 0.0000 0.0000
K2 K 0.0000 0.0000 0.3654
Ca1 Ca 0.0000 0.0000 0.7651
Ti1 Ti 0.0034 0.5017 0.8679
O1 O 0.0000 0.0000 0.1405
O2 O 0.0000 0.0000 0.5940
O3 O 0.0374 0.5187 0.1434
O4 O 0.1855 0.3710 0.9184

Record 3
# MnTlSeBr2, relaxed, DFT PBE
# formation energy without anion corrections: -0.49 eV/atom
# magnetization: 4.0 μB/f.u.
# E_tot: -4.160 eV/atom
data_MnTlSeBr2
_symmetry_space_group_name_H-M 'P 4/m m m'
_symmetry_Int_Tables_number 123
_symmetry_space_group_name_Hall '-P 4 2'
_cell_length_a 5.334
_cell_length_b 5.334
_cell_length_c 4.923
_cell_angle_alpha 90.00
_cell_angle_beta 90.00
_cell_angle_gamma 90.00
loop_
_atom_site_label
_atom_site_type_symbol
_atom_site_fract_x
_atom_site_fract_y
_atom_site_fract_z
Mn1 Mn 0.000 0.000 0.000
Tl1 Tl 0.500 0.500 0.500
Se1 Se 0.000 0.000 0.500
Br1 Br 0.000 0.500 0.000

Record 4
# Tm8PtRh2, relaxed, DFT PBE
# magnetization: 0.0 μB/f.u.
# energy of formation: -0.55 eV/atom
# E_tot: -5.690 eV/atom
data_Tm8PtRh2
_symmetry_space_group_name_H-M 'C 1 m 1'
_symmetry_Int_Tables_number 8
_symmetry_space_group_name_Hall 'C -2y'
_cell_length_a 8.265
_cell_length_b 12.476
_cell_length_c 5.812
_cell_angle_alpha 90.00
_cell_angle_beta 108.65
_cell_angle_gamma 90.00
loop_
_atom_site_label
_atom_site_type_symbol
_atom_site_fract_x
_atom_site_fract_y
_atom_site_fract_z
Tm1 Tm 0.000 0.000 0.000
Tm2 Tm 0.073 0.370 0.774
Tm3 Tm 0.157 0.130 0.579
Tm4 Tm 0.225 0.500 0.362
Tm5 Tm 0.362 0.217 0.182
Pt1 Pt 0.362 0.000 0.342
Rh1 Rh 0.367 0.311 0.683

Record 5
# Y6Te2C3, relaxed, DFT PBE
# formation energy without anion corrections: -0.74 eV/atom
# magnetization: 1.0 μB/f.u.
# E_tot: -7.352 eV/atom
data_Y6Te2C3
_symmetry_space_group_name_H-M 'C 1 2/m 1'
_symmetry_Int_Tables_number 12
_symmetry_space_group_name_Hall '-C 2y'
_cell_length_a 6.485
_cell_length_b 11.244
_cell_length_c 7.457
_cell_angle_alpha 90.00
_cell_angle_beta 107.00
_cell_angle_gamma 90.00
loop_
_atom_site_label
_atom_site_type_symbol
_atom_site_fract_x
_atom_site_fract_y
_atom_site_fract_z
Y1 Y 0.227 0.168 0.184
Y2 Y 0.230 0.500 0.180
Te1 Te 0.000 0.166 0.500
C1 C 0.000 0.000 0.000
C2 C 0.000 0.330 0.000

Record 6
# Ni2MoBr, relaxed, DFT PBE
# formation energy without anion corrections: 0.95 eV/atom
# magnetization: 0.0 μB/f.u.
# E_tot: -5.066 eV/atom
data_Ni2MoBr
_symmetry_space_group_name_H-M 'F m -3 m'
_symmetry_Int_Tables_number 225
_symmetry_space_group_name_Hall '-F 4 2 3'
_cell_length_a 6.172
_cell_length_b 6.172
_cell_length_c 6.172
_cell_angle_alpha 90.00
_cell_angle_beta 90.00
_cell_angle_gamma 90.00
loop_
_atom_site_label
_atom_site_type_symbol
_atom_site_fract_x
_atom_site_fract_y
_atom_site_fract_z
Ni1 Ni 0.250 0.250 0.250
Mo1 Mo 0.000 0.000 0.000
Br1 Br 0.000 0.000 0.500

Number 1: DOS at the Fermi energy 2.57 states/eV/cell. Number 2: DOS at the Fermi energy 0.00 states/eV/cell. Number 3: DOS at the Fermi energy 3.54 states/eV/cell. Number 4: DOS at the Fermi energy 21.14 states/eV/cell. Number 5: DOS at the Fermi energy 7.65 states/eV/cell. Number 6: DOS at the Fermi energy 17.27 states/eV/cell.